No. 1
Below is an optimized crystal structure of AcBPt6, with properties calculated at the PBE level.

extended XYZ file:
```
8
Lattice="-0.554 -4.636 -3.864 4.490 -1.848 -3.627 2.885 -5.280 0.722" Properties=species:S:1:pos:R:3 pbc="T T T"
Pt 0.400 -3.345 -2.493
Pt 6.422 -8.420 -4.276
Pt 4.789 -8.114 -6.454
Pt 2.033 -3.651 -0.314
Pt 4.026 -9.744 -4.388
Pt 2.795 -2.021 -2.380
Ac 3.411 -5.882 -3.384
B 0.000 0.000 0.000
```

Computed properties:
- DFT formation energy (eV/atom) = -0.54
- SG = R-3m (166)

=====

No. 2
Below is an optimized crystal structure of LaSbN2, with properties calculated at the PBE level.

extended XYZ file:
```
8
Lattice="-1.677 -2.265 4.424 -2.428 -3.700 -2.815 2.845 -6.312 0.956" Properties=species:S:1:pos:R:3 pbc="T T T"
N -0.603 -3.406 2.554
N -1.053 -4.224 -0.869
N -1.404 -9.871 2.188
N 0.540 -7.053 1.258
La -0.442 -5.780 3.092
La 0.000 0.000 0.000
Sb -0.818 -6.497 -0.527
Sb -2.053 -2.982 0.805
```

Computed properties:
- energy relative to the elements, uncorrected (eV per atom) = -0.1822
- SG = I-42d (122)

=====

No. 3
Below is an optimized crystal structure of SmHo2AlPd4, with properties calculated at the PBE level.

extended XYZ file:
```
8
Lattice="4.808 0.000 0.000 2.404 4.163 0.000 2.404 1.388 8.086" Properties=species:S:1:pos:R:3 pbc="T T T"
Pd 7.211 4.163 3.105
Pd 2.404 1.388 4.981
Pd 4.808 2.776 1.413
Pd 4.808 2.776 6.673
Ho 2.404 1.388 2.176
Ho 7.211 4.163 5.910
Sm 0.000 0.000 0.000
Al 4.808 2.776 4.043
```

Computed properties:
- DFT formation energy (eV/atom) = -0.83
- SG = R-3m (166)

=====

Repeat the third record exactly.
Below is an optimized crystal structure of SmHo2AlPd4, with properties calculated at the PBE level.

extended XYZ file:
```
8
Lattice="4.808 0.000 0.000 2.404 4.163 0.000 2.404 1.388 8.086" Properties=species:S:1:pos:R:3 pbc="T T T"
Pd 7.211 4.163 3.105
Pd 2.404 1.388 4.981
Pd 4.808 2.776 1.413
Pd 4.808 2.776 6.673
Ho 2.404 1.388 2.176
Ho 7.211 4.163 5.910
Sm 0.000 0.000 0.000
Al 4.808 2.776 4.043
```

Computed properties:
- DFT formation energy (eV/atom) = -0.83
- SG = R-3m (166)